The following is a DFT calculation (GGA+U) of an optimized crystal structure of MgCo4O8.

Geometry as POSCAR:
```
MgCo4O8
1.0
5.889 0.009 0.006
3.196 4.947 0.006
3.196 1.743 4.629
O Co Mg
8 4 1
direct
0.239 0.239 0.728
0.272 0.761 0.761
0.729 0.729 0.729
0.239 0.728 0.239
0.271 0.271 0.271
0.761 0.761 0.272
0.761 0.272 0.761
0.728 0.239 0.239
0.500 0.000 0.500
0.000 0.500 0.500
0.500 0.500 0.000
0.000 0.000 0.000
0.500 0.500 0.500
```

Results
volume	10.35	Å³/atom
ΔE to the lowest computed polymorph	0.0	meV per atom
DOS at the Fermi energy	3.84	states/eV/cell
total moment	2.0	Bohr magnetons per cell

---

The following is a DFT calculation (GGA+U) of an optimized crystal structure of FePF3.

Geometry as POSCAR:
```
FePF3
1.0
4.126 0.000 0.000
0.000 4.126 0.000
0.000 0.000 4.126
Fe F P
1 3 1
direct
0.000 0.000 0.000
0.000 0.000 0.500
0.500 0.000 0.000
0.000 0.500 0.000
0.500 0.500 0.500
```

Results
volume	14.05	Å³/atom
ΔE to the lowest computed polymorph	190.9	meV per atom
DOS at the Fermi energy	6.95	states/eV/cell
total moment	2.1	Bohr magnetons per cell